Record 1
The following is a DFT calculation (PBEsol) of a relaxed K4MgCu3F12 crystal.

Values from the calculation:
Energy relative to the elements, uncorrected in eV per atom: -2.398
Fermi-level density of states in states/eV/atom: 0.236

a = 3.9899 Å, b = 7.9796 Å, c = 8.9629 Å
α = 116.43°, β = 90.00°, γ = 90.00°
Last column: nearest neighbours and their distance in Å.
Positions (direct):
F  0.0000  0.7489  0.0000  1 Cu 1.99, 1 Mg 2.00
F  0.5000  0.0000  0.0000  2 Mg 1.99
F  0.0000  0.6273  0.2545  2 Cu 1.99-2.04
F  0.0000  0.3727  0.7455  2 Cu 1.99-2.04
F  0.5000  0.5000  0.0000  2 Cu 1.99
F  0.0000  0.5000  0.5000  2 Cu 1.99
F  0.0000  0.8764  0.7529  1 Mg 1.98, 1 Cu 2.01
F  0.0000  0.1236  0.2471  1 Mg 1.98, 1 Cu 2.01
F  0.5000  0.7509  0.5018  2 Cu 1.99
F  0.0000  0.0000  0.5000  2 Cu 1.99
F  0.0000  0.2511  0.0000  1 Cu 1.99, 1 Mg 2.00
F  0.5000  0.2491  0.4982  2 Cu 1.99
K  0.5000  0.8735  0.2523  12 F 2.81-2.86
K  0.5000  0.1265  0.7477  12 F 2.81-2.86
K  0.5000  0.3788  0.2523  12 F 2.81-2.86
K  0.5000  0.6212  0.7477  12 F 2.81-2.86
Cu  0.0000  0.7510  0.5020  6 F 1.99-2.01
Cu  0.0000  0.2490  0.4980  6 F 1.99-2.01
Cu  0.0000  0.5000  0.0000  6 F 1.99-2.04
Mg  0.0000  0.0000  0.0000  6 F 1.98-2.00

=====

Record 2
The following is a DFT calculation (PBEsol) of a relaxed K2NaCuF6 crystal.

Values from the calculation:
Energy relative to the elements, uncorrected in eV per atom: -2.321

a = 5.8030 Å, b = 5.8030 Å, c = 5.8030 Å
α = 60.00°, β = 60.00°, γ = 60.00°
Last column: nearest neighbours and their distance in Å.
Positions (direct):
F  0.2312  0.7688  0.7688  1 Cu 1.90
F  0.2312  0.7688  0.2312  1 Cu 1.90
F  0.7688  0.2312  0.2312  1 Cu 1.90
F  0.2312  0.2312  0.7688  1 Cu 1.90
F  0.7688  0.7688  0.2312  1 Cu 1.90
F  0.7688  0.2312  0.7688  1 Cu 1.90
Na  0.5000  0.5000  0.5000  6 F 2.21
K  0.2500  0.2500  0.2500  12 F 2.91
K  0.7500  0.7500  0.7500  12 F 2.91
Cu  0.0000  0.0000  0.0000  6 F 1.90